[1]
First-principles (PBE) data for a relaxed Pm4TlSnC crystal, as listed in Alexandria via LeMat-Bulk.

a b c (Å): 8.811 8.811 7.088
angles (deg): 90.00 90.00 132.56
Sites, in units of the cell vectors:
Pm (0.000, 0.500, 0.000)
Pm (0.000, 0.500, 0.500)
Pm (0.087, 0.913, 0.750)
Pm (0.412, 0.588, 0.750)
Pm (0.500, 0.000, 0.000)
Pm (0.500, 0.000, 0.500)
Pm (0.588, 0.412, 0.250)
Pm (0.913, 0.087, 0.250)
Tl (0.387, 0.613, 0.250)
Tl (0.613, 0.387, 0.750)
Sn (0.114, 0.886, 0.250)
Sn (0.886, 0.114, 0.750)
C (0.251, 0.749, 0.750)
C (0.749, 0.251, 0.250)

Properties
Crystal system ... orthorhombic
Mass density ... 7.50 g/cm³
DFT total energy ... -5.3464 eV per atom
SG ... No. 63
Fermi-level density of states ... 9.76 states/eV/cell
Size of the total moment ... 0.0 μB per cell
ΔH_f (0 K) ... -0.40 eV/atom
Calculated volume ... 405.3 Å³ per cell

[2]
First-principles (PBE) data for a relaxed CeHoSi2Pt2 crystal, as listed in Alexandria via LeMat-Bulk.

a b c (Å): 4.217 4.217 7.862
angles (deg): 90.00 90.00 120.00
Sites, in units of the cell vectors:
Ce (0.000, 0.000, 0.000)
Ho (0.000, 0.000, 0.500)
Si (0.333, 0.667, 0.248)
Si (0.667, 0.333, 0.752)
Pt (0.333, 0.667, 0.736)
Pt (0.667, 0.333, 0.264)

Properties
Crystal system ... trigonal
Mass density ... 10.31 g/cm³
DFT total energy ... -6.7087 eV per atom
SG ... No. 164
Fermi-level density of states ... 6.32 states/eV/cell
Size of the total moment ... 0.0 μB per cell
Formation energy from raw total energies ... -1.14 eV/atom
Calculated volume ... 121.1 Å³ per cell

[3]
First-principles (PBE) data for a relaxed La2PrAg2Pb2 crystal, as listed in Alexandria via LeMat-Bulk.

a b c (Å): 9.689 9.689 9.689
angles (deg): 29.58 29.58 29.58
Sites, in units of the cell vectors:
La (0.139, 0.139, 0.139)
La (0.861, 0.861, 0.861)
Pr (0.000, 0.000, 0.000)
Ag (0.430, 0.430, 0.430)
Ag (0.570, 0.570, 0.570)
Pb (0.269, 0.269, 0.269)
Pb (0.731, 0.731, 0.731)

Properties
Crystal system ... trigonal
Mass density ... 8.87 g/cm³
DFT total energy ... -4.2945 eV per atom
SG ... No. 166
Fermi-level density of states ... 3.73 states/eV/cell
Size of the total moment ... 0.0 μB per cell
ΔH_f (0 K) ... -0.33 eV/atom
Calculated volume ... 196.3 Å³ per cell

[4]
First-principles (PBE) data for a relaxed LaTb2ErTm crystal, as listed in Alexandria via LeMat-Bulk.

a b c (Å): 7.129 7.129 7.230
angles (deg): 90.00 90.00 107.65
Sites, in units of the cell vectors:
La (0.233, 0.767, 0.750)
La (0.767, 0.233, 0.250)
Tb (0.191, 0.191, 0.000)
Tb (0.191, 0.191, 0.500)
Tb (0.809, 0.809, 0.000)
Tb (0.809, 0.809, 0.500)
Er (0.496, 0.504, 0.250)
Er (0.504, 0.496, 0.750)
Tm (0.218, 0.782, 0.250)
Tm (0.782, 0.218, 0.750)

Properties
Crystal system ... orthorhombic
Mass density ... 7.52 g/cm³
DFT total energy ... -4.2785 eV per atom
SG ... No. 63
Fermi-level density of states ... 13.76 states/eV/cell
Size of the total moment ... 0.0 μB per cell
ΔH_f (0 K) ... 0.37 eV/atom
Calculated volume ... 350.1 Å³ per cell

[5]
First-principles (PBE) data for a relaxed VSCl3 crystal, as listed in Alexandria via LeMat-Bulk.

a b c (Å): 7.609 7.609 11.648
angles (deg): 92.42 92.42 128.01
Sites, in units of the cell vectors:
V (0.009, 0.133, 0.148)
V (0.133, 0.009, 0.648)
V (0.867, 0.991, 0.352)
V (0.991, 0.867, 0.852)
S (0.051, 0.677, 0.706)
S (0.323, 0.949, 0.794)
S (0.677, 0.051, 0.206)
S (0.949, 0.323, 0.294)
Cl (0.046, 0.220, 0.532)
Cl (0.192, 0.258, 0.795)
Cl (0.210, 0.466, 0.076)
Cl (0.220, 0.046, 0.032)
Cl (0.258, 0.192, 0.295)
Cl (0.466, 0.210, 0.576)
Cl (0.534, 0.790, 0.424)
Cl (0.742, 0.808, 0.705)
Cl (0.780, 0.954, 0.968)
Cl (0.790, 0.534, 0.924)
Cl (0.808, 0.742, 0.205)
Cl (0.954, 0.780, 0.468)

Properties
Crystal system ... monoclinic
Mass density ... 2.38 g/cm³
DFT total energy ... -4.7128 eV per atom
E above lowest polymorph ... 0.0 meV/atom
SG ... No. 15
Size of the total moment ... 0.0 μB per cell
Formation energy from raw total energies ... -0.96 eV/atom
Calculated volume ... 528.9 Å³ per cell

[6]
First-principles (PBE) data for a relaxed CrP2Rh crystal, as listed in Alexandria via LeMat-Bulk.

a b c (Å): 2.903 2.903 5.828
angles (deg): 90.00 90.00 90.00
Sites, in units of the cell vectors:
Cr (0.000, 0.000, 0.000)
P (0.500, 0.500, 0.224)
P (0.500, 0.500, 0.776)
Rh (0.000, 0.000, 0.500)

Properties
Crystal system ... tetragonal
Mass density ... 7.33 g/cm³
DFT total energy ... -7.2241 eV per atom
E above lowest polymorph ... 113.2 meV/atom
SG ... No. 123
Fermi-level density of states ... 2.70 states/eV/cell
Size of the total moment ... 0.0 μB per cell
ΔH_f (0 K) ... -0.28 eV/atom
Calculated volume ... 49.1 Å³ per cell

[7]
First-principles (PBE) data for a relaxed ZrTePt2 crystal, as listed in Alexandria via LeMat-Bulk.

a b c (Å): 3.706 4.125 5.612
angles (deg): 90.00 109.26 90.00
Sites, in units of the cell vectors:
Zr (0.000, 0.000, 0.000)
Te (0.294, 0.500, 0.587)
Pt (0.544, 0.500, 0.090)
Pt (0.724, 0.000, 0.446)

Properties
Crystal system ... monoclinic
Mass density ... 12.49 g/cm³
DFT total energy ... -6.4902 eV per atom
SG ... No. 6
Fermi-level density of states ... 3.14 states/eV/cell
Size of the total moment ... 0.0 μB per cell
Formation energy from raw total energies ... -0.55 eV/atom
Calculated volume ... 81.0 Å³ per cell

[8]
First-principles (PBE) data for a relaxed Rb2TiSbO6 crystal, as listed in Alexandria via LeMat-Bulk.

a b c (Å): 5.734 5.734 5.734
angles (deg): 60.00 60.00 60.00
Sites, in units of the cell vectors:
Rb (0.250, 0.250, 0.250)
Rb (0.750, 0.750, 0.750)
Ti (0.000, 0.000, 0.000)
Sb (0.500, 0.500, 0.500)
O (0.248, 0.248, 0.752)
O (0.248, 0.752, 0.248)
O (0.248, 0.752, 0.752)
O (0.752, 0.248, 0.248)
O (0.752, 0.248, 0.752)
O (0.752, 0.752, 0.248)

Properties
Crystal system ... cubic
Mass density ... 5.44 g/cm³
DFT total energy ... -6.1523 eV per atom
SG ... No. 225
Fermi-level density of states ... 5.96 states/eV/cell
Size of the total moment ... 0.7 μB per cell
Formation energy from raw total energies ... -1.78 eV/atom
Calculated volume ... 133.3 Å³ per cell

[9]
First-principles (PBE) data for a relaxed TcAgCl2 crystal, as listed in Alexandria via LeMat-Bulk.

a b c (Å): 2.938 5.556 10.275
angles (deg): 90.00 90.00 90.00
Sites, in units of the cell vectors:
Tc (0.000, 0.000, 0.000)
Tc (0.500, 0.500, 0.000)
Ag (0.000, 0.000, 0.500)
Ag (0.500, 0.500, 0.500)
Cl (0.000, 0.500, 0.183)
Cl (0.000, 0.500, 0.817)
Cl (0.500, 0.000, 0.183)
Cl (0.500, 0.000, 0.817)

Properties
Crystal system ... orthorhombic
Mass density ... 5.48 g/cm³
DFT total energy ... -4.0838 eV per atom
E above lowest polymorph ... 166.2 meV/atom
SG ... No. 65
Fermi-level density of states ... 6.66 states/eV/cell
Size of the total moment ... 0.0 μB per cell
Formation energy from raw total energies ... 0.14 eV/atom
Calculated volume ... 167.7 Å³ per cell

[10]
First-principles (PBE) data for a relaxed SrPtSe2 crystal, as listed in Alexandria via LeMat-Bulk.

a b c (Å): 7.066 7.066 7.066
angles (deg): 90.00 90.00 90.00
Sites, in units of the cell vectors:
Sr (0.000, 0.000, 0.000)
Sr (0.000, 0.500, 0.500)
Sr (0.500, 0.000, 0.500)
Sr (0.500, 0.500, 0.000)
Pt (0.000, 0.000, 0.500)
Pt (0.000, 0.500, 0.000)
Pt (0.500, 0.000, 0.000)
Pt (0.500, 0.500, 0.500)
Se (0.250, 0.250, 0.250)
Se (0.250, 0.250, 0.750)
Se (0.250, 0.750, 0.250)
Se (0.250, 0.750, 0.750)
Se (0.750, 0.250, 0.250)
Se (0.750, 0.250, 0.750)
Se (0.750, 0.750, 0.250)
Se (0.750, 0.750, 0.750)

Properties
Crystal system ... cubic
Mass density ... 8.30 g/cm³
DFT total energy ... -4.1446 eV per atom
E above lowest polymorph ... 540.0 meV/atom
SG ... No. 225
Fermi-level density of states ... 16.23 states/eV/cell
Size of the total moment ... 0.0 μB per cell
Formation energy from raw total energies ... -0.47 eV/atom
Calculated volume ... 352.8 Å³ per cell

[11]
First-principles (PBE) data for a relaxed Sr2RhW crystal, as listed in Alexandria via LeMat-Bulk.

a b c (Å): 7.489 7.489 7.489
angles (deg): 90.00 90.00 90.00
Sites, in units of the cell vectors:
Sr (0.250, 0.250, 0.250)
Sr (0.250, 0.250, 0.750)
Sr (0.250, 0.750, 0.250)
Sr (0.250, 0.750, 0.750)
Sr (0.750, 0.250, 0.250)
Sr (0.750, 0.250, 0.750)
Sr (0.750, 0.750, 0.250)
Sr (0.750, 0.750, 0.750)
Rh (0.000, 0.000, 0.000)
Rh (0.000, 0.500, 0.500)
Rh (0.500, 0.000, 0.500)
Rh (0.500, 0.500, 0.000)
W (0.000, 0.000, 0.500)
W (0.000, 0.500, 0.000)
W (0.500, 0.000, 0.000)
W (0.500, 0.500, 0.500)

Properties
Crystal system ... cubic
Mass density ... 7.31 g/cm³
DFT total energy ... -4.8771 eV per atom
E above lowest polymorph ... 647.9 meV/atom
SG ... No. 225
Fermi-level density of states ... 21.09 states/eV/cell
Size of the total moment ... 15.9 μB per cell
ΔH_f (0 K) ... 1.04 eV/atom
Calculated volume ... 420.0 Å³ per cell

[12]
First-principles (PBE) data for a relaxed Ce2Hf crystal, as listed in Alexandria via LeMat-Bulk.

a b c (Å): 3.900 3.900 9.982
angles (deg): 90.00 90.00 90.00
Sites, in units of the cell vectors:
Ce (0.000, 0.000, 0.167)
Ce (0.000, 0.000, 0.833)
Ce (0.500, 0.500, 0.333)
Ce (0.500, 0.500, 0.667)
Hf (0.000, 0.000, 0.500)
Hf (0.500, 0.500, 0.000)

Properties
Crystal system ... tetragonal
Mass density ... 10.03 g/cm³
DFT total energy ... -7.0595 eV per atom
SG ... No. 139
Fermi-level density of states ... 15.60 states/eV/cell
Size of the total moment ... 0.0 μB per cell
ΔH_f (0 K) ... 0.21 eV/atom
Calculated volume ... 151.8 Å³ per cell